# Pr2Tm2Mg | the Alexandria database | GGA-PBE | relaxed
# Formation energy from the elements: 0.331 eV/atom
# Crystal system: tetragonal
# Density: 6.22 g/cm3
# Size of the total moment: 0.0 μB/f.u.
data_Pr2Tm2Mg
_symmetry_space_group_name_H-M 'I 4/m m m'
_symmetry_Int_Tables_number 139
_symmetry_space_group_name_Hall '-I 4 2'
_cell_length_a 4.395
_cell_length_b 4.395
_cell_length_c 17.802
_cell_angle_alpha 90.00
_cell_angle_beta 90.00
_cell_angle_gamma 90.00
loop_
_atom_site_label
_atom_site_type_symbol
_atom_site_fract_x
_atom_site_fract_y
_atom_site_fract_z
Pr1 Pr 0.000 0.000 0.093
Tm1 Tm 0.000 0.500 0.250
Mg1 Mg 0.000 0.000 0.500